1.
Here is a geometry-optimized PuH4Rh structure from Alexandria via LeMat-Bulk. Energies are from PBE-GGA.

The value obtained for the excess energy over the best structure of this formula in the dataset is 0.000 kcal/mol of atoms.

a = 3.792 Å, b = 4.969 Å, c = 6.325 Å
α = 90.00°, β = 107.44°, γ = 90.00°
Site moments in Bohr magnetons follow the coordinates.
Sites, in units of the cell vectors:
1 Pu 0.366 0.750 0.731  5.21
2 Pu 0.634 0.250 0.269  5.21
3 H 0.197 0.493 0.395  -0.01
4 H 0.803 0.507 0.605  -0.01
5 H 0.197 0.007 0.395  -0.01
6 H 0.803 0.993 0.605  -0.01
7 H 0.594 0.750 0.189  -0.01
8 H 0.406 0.250 0.811  -0.01
9 H 0.000 0.500 0.000  -0.01
10 H 0.000 0.000 0.000  -0.01
11 Rh 0.100 0.750 0.201  0.07
12 Rh 0.900 0.250 0.799  0.07



2.
Here is a geometry-optimized LuCdInGa structure from Alexandria via LeMat-Bulk. Energies are from PBE-GGA.

The value obtained for the formation enthalpy at 0 K is -0.16 eV/atom.

a = 5.060 Å, b = 5.060 Å, c = 5.060 Å
α = 60.00°, β = 60.00°, γ = 60.00°
Sites, in units of the cell vectors:
1 Cd 0.250 0.250 0.250
2 Lu 0.750 0.750 0.750
3 Ga 0.500 0.500 0.500
4 In 0.000 0.000 0.000



3.
Here is a geometry-optimized LiBeW2 structure from Alexandria via LeMat-Bulk. Energies are from PBE-GGA.

The value obtained for the formation enthalpy at 0 K is 0.46 eV/atom.

a = 4.545 Å, b = 4.545 Å, c = 4.545 Å
α = 130.90°, β = 130.90°, γ = 71.98°
Sites, in units of the cell vectors:
1 Be 0.250 0.750 0.500
2 Li 0.750 0.250 0.500
3 W 0.000 0.000 0.000
4 W 0.500 0.500 0.000



4.
Here is a geometry-optimized Li2MnBe structure from Alexandria via LeMat-Bulk. Energies are from PBE-GGA.

The value obtained for the formation enthalpy at 0 K is 0.36 eV/atom.

a = 2.281 Å, b = 2.281 Å, c = 8.546 Å
α = 90.00°, β = 90.00°, γ = 90.00°
Sites, in units of the cell vectors:
1 Be 0.500 0.500 0.750
2 Li 0.000 0.000 0.993
3 Li 0.000 0.000 0.507
4 Mn 0.500 0.500 0.250



5.
Here is a geometry-optimized CePmDy5Ho2 structure from Alexandria via LeMat-Bulk. Energies are from PBE-GGA.

The value obtained for the formation enthalpy at 0 K is 0.17 eV/atom.

a = 5.693 Å, b = 11.098 Å, c = 9.572 Å
α = 90.00°, β = 90.00°, γ = 104.86°
Site moments in Bohr magnetons follow the coordinates.
Sites, in units of the cell vectors:
1 Ce 0.806 0.613 0.523  0.60
2 Ce 0.194 0.387 0.023  0.60
3 Pm 0.597 0.194 0.924  -0.02
4 Pm 0.403 0.806 0.424  -0.02
5 Dy 0.394 0.788 0.041  -0.01
6 Dy 0.733 0.467 0.833  0.03
7 Dy 0.471 0.942 0.746  -0.03
8 Dy 0.306 0.612 0.715  0.04
9 Dy 0.987 0.974 0.514  -0.01
10 Dy 0.606 0.212 0.541  -0.01
11 Dy 0.267 0.533 0.333  0.03
12 Dy 0.529 0.058 0.246  -0.03
13 Dy 0.694 0.388 0.215  0.04
14 Dy 0.013 0.026 0.014  -0.01
15 Ho 0.887 0.773 0.822  0.01
16 Ho 0.136 0.272 0.705  0.02
17 Ho 0.113 0.227 0.322  0.01
18 Ho 0.864 0.728 0.205  0.02



6.
Here is a geometry-optimized LiAlNi2 structure from Alexandria via LeMat-Bulk. Energies are from PBE-GGA.

The value obtained for the formation enthalpy at 0 K is -0.34 eV/atom.

a = 2.875 Å, b = 2.877 Å, c = 5.601 Å
α = 90.00°, β = 90.00°, γ = 90.00°
Sites, in units of the cell vectors:
1 Ni 0.000 0.000 0.001
2 Ni 0.000 0.000 0.499
3 Al 0.500 0.500 0.250
4 Li 0.500 0.500 0.750



7.
Here is a geometry-optimized Na2MgGa structure from Alexandria via LeMat-Bulk. Energies are from PBE-GGA.

The value obtained for the formation enthalpy at 0 K is 0.18 eV/atom.

a = 8.675 Å, b = 8.675 Å, c = 6.785 Å
α = 50.26°, β = 50.26°, γ = 90.00°
Sites, in units of the cell vectors:
1 Na 0.654 0.125 0.250
2 Na 0.096 0.625 0.250
3 Na 0.375 0.346 0.750
4 Na 0.875 0.904 0.750
5 Mg 0.500 0.500 0.000
6 Mg 0.250 0.750 0.500
7 Ga 0.000 0.000 0.000
8 Ga 0.750 0.250 0.500



8.
Here is a geometry-optimized NpFe2Ru structure from Alexandria via LeMat-Bulk. Energies are from PBE-GGA.

The value obtained for the excess energy over the best structure of this formula in the dataset is 0.000 kcal/mol of atoms. The value obtained for the formation enthalpy at 0 K is -0.03 eV/atom.

a = 4.038 Å, b = 3.837 Å, c = 3.837 Å
α = 90.00°, β = 90.00°, γ = 90.00°
Site moments in Bohr magnetons follow the coordinates.
Sites, in units of the cell vectors:
1 Np 0.500 0.500 0.500  -2.86
2 Ru 0.500 0.000 0.000  0.62
3 Fe 0.000 0.000 0.500  2.34
4 Fe 0.000 0.500 0.000  2.34



9.
Here is a geometry-optimized SnRuPt3 structure from Alexandria via LeMat-Bulk. Energies are from PBE-GGA.

The value obtained for the excess energy over the best structure of this formula in the dataset is 10.287 kcal/mol of atoms. The value obtained for the formation enthalpy at 0 K is 1.42 eV/atom.

a = 4.895 Å, b = 4.895 Å, c = 4.895 Å
α = 90.00°, β = 90.00°, γ = 90.00°
Site moments in Bohr magnetons follow the coordinates.
Sites, in units of the cell vectors:
1 Ru 0.500 0.500 0.500  2.79
2 Sn 0.000 0.000 0.000  0.01
3 Pt 0.000 0.500 0.000  0.05
4 Pt 0.000 0.000 0.500  0.05
5 Pt 0.500 0.000 0.000  0.15



10.
Here is a geometry-optimized SrHgSO4 structure from Alexandria via LeMat-Bulk. Energies are from PBE-GGA.

Its formation energy from raw total energies is -1.684 eV per atom.

a = 5.737 Å, b = 6.998 Å, c = 6.998 Å
α = 70.30°, β = 65.80°, γ = 65.80°
Sites, in units of the cell vectors:
1 Sr 0.000 0.000 0.000
2 Sr 0.000 0.500 0.500
3 Hg 0.500 0.000 0.500
4 Hg 0.000 0.000 0.500
5 S 0.631 0.619 0.119
6 S 0.369 0.381 0.881
7 O 0.711 0.692 0.885
8 O 0.289 0.615 0.808
9 O 0.711 0.385 0.192
10 O 0.289 0.308 0.115
11 O 0.325 0.711 0.211
12 O 0.754 0.711 0.211
13 O 0.246 0.289 0.789
14 O 0.675 0.289 0.789



11.
Here is a geometry-optimized KSb2P structure from Alexandria via LeMat-Bulk. Energies are from PBE-GGA.

Its formation energy from raw total energies is -0.011 eV per atom.

a = 6.290 Å, b = 6.290 Å, c = 6.290 Å
α = 147.00°, β = 125.15°, γ = 65.52°
Sites, in units of the cell vectors:
1 K 0.750 0.250 0.500
2 P 0.250 0.750 0.500
3 Sb 0.057 0.057 0.000
4 Sb 0.443 0.443 0.000



12.
Here is a geometry-optimized Nd6Y12Ho structure from Alexandria via LeMat-Bulk. Energies are from PBE-GGA.

The value obtained for the excess energy over the best structure of this formula in the dataset is 2.058 kcal/mol of atoms. The value obtained for the formation enthalpy at 0 K is 0.21 eV/atom.

a = 8.809 Å, b = 8.809 Å, c = 8.809 Å
α = 99.10°, β = 99.10°, γ = 99.10°
Sites, in units of the cell vectors:
1 Nd 0.903 0.341 0.903
2 Nd 0.903 0.903 0.341
3 Nd 0.341 0.903 0.903
4 Nd 0.097 0.097 0.659
5 Nd 0.097 0.659 0.097
6 Nd 0.659 0.097 0.097
7 Y 0.758 0.242 0.500
8 Y 0.353 0.081 0.353
9 Y 0.353 0.353 0.081
10 Y 0.919 0.647 0.647
11 Y 0.647 0.647 0.919
12 Y 0.647 0.919 0.647
13 Y 0.500 0.758 0.242
14 Y 0.242 0.500 0.758
15 Y 0.242 0.758 0.500
16 Y 0.500 0.242 0.758
17 Y 0.758 0.500 0.242
18 Y 0.081 0.353 0.353
19 Ho 0.000 0.000 0.000



13.
Here is a geometry-optimized TiCuRe structure from Alexandria via LeMat-Bulk. Energies are from PBE-GGA.

The value obtained for the formation enthalpy at 0 K is 0.62 eV/atom.

a = 4.301 Å, b = 4.301 Å, c = 5.499 Å
α = 90.00°, β = 90.00°, γ = 90.00°
Sites, in units of the cell vectors:
1 Cu 0.500 0.500 0.500
2 Cu 0.000 0.000 0.500
3 Re 0.500 0.500 0.000
4 Re 0.000 0.000 0.000
5 Ti 0.500 0.000 0.746
6 Ti 0.000 0.500 0.254



14.
Here is a geometry-optimized Tb3Al2Pt6 structure from Alexandria via LeMat-Bulk. Energies are from PBE-GGA.

The value obtained for the formation enthalpy at 0 K is -1.14 eV/atom.

a = 8.247 Å, b = 8.247 Å, c = 8.247 Å
α = 109.47°, β = 109.47°, γ = 109.47°
Sites, in units of the cell vectors:
1 Tb 0.701 0.000 0.701
2 Tb 0.299 0.000 0.299
3 Tb 0.000 0.299 0.299
4 Tb 0.000 0.701 0.701
5 Tb 0.299 0.299 0.000
6 Tb 0.701 0.701 0.000
7 Al 0.000 0.500 0.000
8 Al 0.500 0.000 0.000
9 Al 0.000 0.000 0.500
10 Al 0.500 0.500 0.500
11 Pt 0.679 0.358 0.679
12 Pt 0.679 0.000 0.321
13 Pt 0.321 0.000 0.679
14 Pt 0.321 0.642 0.321
15 Pt 0.000 0.679 0.321
16 Pt 0.642 0.321 0.321
17 Pt 0.358 0.679 0.679
18 Pt 0.000 0.321 0.679
19 Pt 0.321 0.679 0.000
20 Pt 0.679 0.679 0.358
21 Pt 0.321 0.321 0.642
22 Pt 0.679 0.321 0.000



15.
Here is a geometry-optimized NaCd2Ag2 structure from Alexandria via LeMat-Bulk. Energies are from PBE-GGA.

The value obtained for the excess energy over the best structure of this formula in the dataset is 2.053 kcal/mol of atoms. The value obtained for the formation enthalpy at 0 K is 0.00 eV/atom.

a = 4.165 Å, b = 4.165 Å, c = 7.378 Å
α = 73.61°, β = 73.61°, γ = 90.00°
Sites, in units of the cell vectors:
1 Na 0.000 0.000 0.000
2 Ag 0.750 0.250 0.500
3 Ag 0.250 0.750 0.500
4 Cd 0.395 0.395 0.209
5 Cd 0.605 0.605 0.791



16.
Here is a geometry-optimized Cs3RbHg2H6 structure from Alexandria via LeMat-Bulk. Energies are from PBE-GGA.

a = 6.595 Å, b = 6.595 Å, c = 8.706 Å
α = 90.00°, β = 90.00°, γ = 120.00°
Site moments in Bohr magnetons follow the coordinates.
Sites, in units of the cell vectors:
1 Cs 0.333 0.667 0.736  0.02
2 Cs 0.667 0.333 0.264  0.02
3 Cs 0.000 0.000 0.000  0.01
4 Rb 0.000 0.000 0.500  0.01
5 Hg 0.667 0.333 0.780  0.07
6 Hg 0.333 0.667 0.220  0.07
7 H 0.642 0.821 0.274  0.01
8 H 0.179 0.358 0.274  0.01
9 H 0.179 0.821 0.274  0.01
10 H 0.821 0.642 0.726  0.01
11 H 0.358 0.179 0.726  0.01
12 H 0.821 0.179 0.726  0.01



17.
Here is a geometry-optimized SrAc2Bi structure from Alexandria via LeMat-Bulk. Energies are from PBE-GGA.

The value obtained for the excess energy over the best structure of this formula in the dataset is 3.820 kcal/mol of atoms. The value obtained for the formation enthalpy at 0 K is -0.14 eV/atom.

a = 4.398 Å, b = 4.398 Å, c = 12.611 Å
α = 79.96°, β = 79.96°, γ = 60.00°
Sites, in units of the cell vectors:
1 Sr 0.000 0.000 0.000
2 Ac 0.109 0.109 0.674
3 Ac 0.891 0.891 0.326
4 Bi 0.500 0.500 0.500



18.
Here is a geometry-optimized Li2SiAg structure from Alexandria via LeMat-Bulk. Energies are from PBE-GGA.

Its formation energy from raw total energies is -0.121 eV per atom.

a = 4.038 Å, b = 3.862 Å, c = 3.862 Å
α = 90.00°, β = 90.00°, γ = 90.00°
Sites, in units of the cell vectors:
1 Ag 0.500 0.000 0.500
2 Li 0.000 0.000 0.000
3 Li 0.000 0.500 0.500
4 Si 0.500 0.500 0.000



19.
Here is a geometry-optimized Rb2DyTlO4 structure from Alexandria via LeMat-Bulk. Energies are from PBE-GGA.

Its formation energy from raw total energies is -1.814 eV per atom.

a = 3.516 Å, b = 6.104 Å, c = 6.891 Å
α = 107.88°, β = 90.00°, γ = 90.00°
Sites, in units of the cell vectors:
1 Rb 0.500 0.000 0.500
2 Rb 0.000 0.500 0.500
3 Dy 0.500 0.500 0.000
4 Tl 0.000 0.000 0.000
5 O 0.500 0.231 0.183
6 O 0.500 0.769 0.817
7 O 0.000 0.286 0.817
8 O 0.000 0.714 0.183



20.
Here is a geometry-optimized TlOsRuI2 structure from Alexandria via LeMat-Bulk. Energies are from PBE-GGA.

Its formation energy from raw total energies is 1.520 eV per atom.

a = 5.389 Å, b = 5.252 Å, c = 5.389 Å
α = 90.00°, β = 90.00°, γ = 90.00°
Site moments in Bohr magnetons follow the coordinates.
Sites, in units of the cell vectors:
1 I 0.000 0.000 0.500  0.03
2 I 0.500 0.000 0.000  0.01
3 Ru 0.500 0.500 0.500  2.53
4 Tl 0.000 0.500 0.000  -0.01
5 Os 0.000 0.000 0.000  -0.14



21.
Here is a geometry-optimized Er4ThCd5 structure from Alexandria via LeMat-Bulk. Energies are from PBE-GGA.

The value obtained for the formation enthalpy at 0 K is -0.26 eV/atom.

a = 3.686 Å, b = 3.686 Å, c = 19.191 Å
α = 90.00°, β = 90.00°, γ = 90.00°
Sites, in units of the cell vectors:
1 Er 0.000 0.000 0.207
2 Er 0.000 0.000 0.402
3 Er 0.000 0.000 0.598
4 Er 0.000 0.000 0.793
5 Th 0.000 0.000 0.000
6 Cd 0.500 0.500 0.113
7 Cd 0.500 0.500 0.304
8 Cd 0.500 0.500 0.500
9 Cd 0.500 0.500 0.696
10 Cd 0.500 0.500 0.887



22.
Here is a geometry-optimized Er4GeTe2Pt structure from Alexandria via LeMat-Bulk. Energies are from PBE-GGA.

Its formation energy from raw total energies is -1.174 eV per atom.

a = 4.189 Å, b = 7.181 Å, c = 7.543 Å
α = 108.94°, β = 90.00°, γ = 90.00°
Sites, in units of the cell vectors:
1 Er 0.500 0.233 0.213
2 Er 0.500 0.767 0.787
3 Er 0.000 0.259 0.781
4 Er 0.000 0.741 0.219
5 Ge 0.500 0.500 0.000
6 Te 0.500 0.000 0.500
7 Te 0.000 0.500 0.500
8 Pt 0.000 0.000 0.000



23.
Here is a geometry-optimized Ti2VZnH structure from Alexandria via LeMat-Bulk. Energies are from PBE-GGA.

a = 4.079 Å, b = 4.079 Å, c = 3.774 Å
α = 90.00°, β = 90.00°, γ = 90.00°
Site moments in Bohr magnetons follow the coordinates.
Sites, in units of the cell vectors:
1 H 0.000 0.000 0.000  0.00
2 Zn 0.500 0.500 0.500  -0.01
3 Ti 0.000 0.500 0.000  0.07
4 Ti 0.500 0.000 0.000  0.07
5 V 0.000 0.000 0.500  0.45



24.
Here is a geometry-optimized BaNaTl4 structure from Alexandria via LeMat-Bulk. Energies are from PBE-GGA.

The value obtained for the excess energy over the best structure of this formula in the dataset is 0.000 kcal/mol of atoms. The value obtained for the formation enthalpy at 0 K is -0.22 eV/atom.

a = 5.191 Å, b = 6.752 Å, c = 6.751 Å
α = 74.11°, β = 67.39°, γ = 67.39°
Sites, in units of the cell vectors:
1 Ba 0.000 0.000 0.500
2 Na 0.000 0.500 0.000
3 Tl 0.662 0.542 0.634
4 Tl 0.338 0.458 0.366
5 Tl 0.337 0.865 0.961
6 Tl 0.663 0.135 0.039



Short version: total energy = -6.1894 -2.9626 -7.4297 -3.8218 -4.5873 -4.6468 -1.6382 -9.8184 -4.8614 -5.3899 -3.6995 -5.6225 -7.5261 -6.3785 -1.7687 -2.0551 -3.5895 -3.1464 -5.4062 -3.6747 -3.2881 -5.5733 -6.0886 -2.3378 eV per atom, in the order given.